## LaTa2Os2 (PBEsol)

Data for an optimized crystal structure of LaTa2Os2.

```
LaTa2Os2
1.0
-0.0091 2.4499 3.6225
-1.3062 -3.4586 2.3358
5.7976 -0.8222 -2.0690
La Os Ta
1 2 2
Cartesian
0.0000 0.0000 0.0000
3.8987 -1.0062 0.6903
0.5835 -0.8247 3.1989
1.9168 -2.3926 1.6230
2.5654 0.5617 2.2663
```

Output
total moment	0.00	μB per cell
ΔE_f	-229	meV per atom
excess energy over the best structure of this formula in the dataset	0.0	meV/atom